Ni3OF5: relaxed, GGA+U.

Cell and atoms, written as extended XYZ:
```
18
Lattice="5.6252 0.0000 0.0000 0.0000 4.7009 0.0000 -0.5147 0.0000 7.7541" Properties=species:S:1:pos:R:3 pbc="T T T"
Ni 0.2613 0.0000 2.5672
Ni 0.9068 2.3568 7.6957
Ni 1.9811 4.6125 5.1793
Ni 3.1294 2.2620 2.5748
Ni 4.2037 0.0064 0.0584
Ni 4.8493 2.3504 5.1870
O 0.8143 3.2386 5.9412
O 4.2962 0.8881 1.8129
F 0.2070 3.7205 0.7851
F 0.3916 0.9010 4.3787
F 1.4795 1.4005 1.7606
F 1.9267 3.7456 3.3300
F 2.0778 0.8917 6.9628
F 3.0327 3.2421 0.7913
F 3.1838 1.3952 4.4241
F 3.6311 3.7509 5.9935
F 4.7189 3.2514 3.3754
F 4.9035 1.3701 6.9690
```

Results
E above lowest polymorph, kJ/mol of formula units: 1.0
Calculated volume, Å³ per atom: 11.39
VASP energy, eV/atom: -4.278
Total moment, μB/f.u.: 7.0